Material: NaZn2Au6
Method: DFT, GGA-PBE
State: relaxed

Results
The density of states at the Fermi level comes out at 29.62 states/eV/cell. The value obtained for the energy of formation is 0.01 eV/atom.

Unit cell a=11.6369 b=11.6369 c=11.6369 alpha=90.00 beta=90.00 gamma=90.00
With the nearest neighbours (Å) after each atom.
Space group Fd-3m (No. 227, origin choice 2)
Asymmetric unit:
Na1 0.1250 0.1250 0.1250 [8 per cell]  6 Au 2.84
Zn1 0.0000 0.0000 0.5000 [16 per cell]  6 Au 2.56
Au1 0.1192 0.3750 0.3750 [48 per cell]  2 Zn 2.56, 1 Na 2.84

Material: Na2Zn2Au
Method: DFT, GGA-PBE
State: relaxed

Results
The density of states at the Fermi level comes out at 8.46 states/eV/cell. Its offset from the most stable computed form is 102 meV/atom. The value obtained for the energy of formation is -0.03 eV/atom.

Unit cell a=4.3705 b=4.3705 c=26.9887 alpha=90.00 beta=90.00 gamma=90.00
With the nearest neighbours (Å) after each atom.
Space group I4_1/amd (No. 141, origin choice 2)
Asymmetric unit:
Na1 0.0000 0.2500 0.0476 [8 per cell]  2 Au 3.02, 4 Zn 3.16, 2 Na 3.37
Zn1 0.0000 0.2500 0.1773 [8 per cell]  2 Au 2.60
Au1 0.0000 0.2500 0.3750 [4 per cell]  4 Zn 2.60